The following is a PBE-GGA calculation of a relaxed structure of Ti2BeNi4, from Alexandria.

Lattice parameters (Å, degrees): 3.8010 3.8010 6.8874 73.98 73.98 90.00
Atoms (fractional coordinates):
Ni (0.1576, 0.1576, 0.6848)
Ni (0.8424, 0.8424, 0.3152)
Ni (0.0000, 0.5000, 0.0000)
Ni (0.5000, 0.0000, 0.0000)
Be (0.0000, 0.0000, 0.0000)
Ti (0.3438, 0.3438, 0.3123)
Ti (0.6562, 0.6562, 0.6877)

## Properties
V	92	Å³ per cell
M_tot	0.00	μB per cell
calculated density	6.154	g cm⁻³
DOS at the Fermi energy	7.2	states/eV/cell
total DFT energy (no corrections)	-5.999	eV per atom